[1]
K2ErPtO6 | PBE | relaxed

Computed properties:
As for the uncorrected formation energy: -1.49 eV per atom. The value obtained for the magnetic moment is 2.35 μB/f.u. Its density of states at the Fermi level is 0.8695 states/eV per atom. Its crystal system is cubic.

a = 5.890 Å, b = 5.890 Å, c = 5.890 Å
α = 60.00°, β = 60.00°, γ = 60.00°
Positions (direct):
K1 0.250 0.250 0.250
K2 0.750 0.750 0.750
Er1 0.000 0.000 0.000
Pt1 0.500 0.500 0.500
O1 0.265 0.265 0.735
O2 0.265 0.735 0.265
O3 0.265 0.735 0.735
O4 0.735 0.265 0.265
O5 0.735 0.265 0.735
O6 0.735 0.735 0.265

---

[2]
K2Er2PtO6 | PBE | relaxed

Computed properties:
As for the uncorrected formation energy: -2.19 eV per atom. The value obtained for the magnetic moment is 0.00 μB/f.u. Its density of states at the Fermi level is 0.0000 states/eV per atom. Its crystal system is monoclinic.

a = 5.726 Å, b = 5.726 Å, c = 6.589 Å
α = 97.64°, β = 97.64°, γ = 119.60°
Positions (direct):
K1 0.161 0.839 0.000
K2 0.839 0.161 0.000
Er1 0.335 0.665 0.500
Er2 0.665 0.335 0.500
Pt1 0.000 0.000 0.500
O1 0.049 0.366 0.673
O2 0.255 0.255 0.324
O3 0.366 0.049 0.673
O4 0.634 0.951 0.327
O5 0.745 0.745 0.676
O6 0.951 0.634 0.327

---

[3]
K3Er2PtO6 | PBE | relaxed

Computed properties:
As for the uncorrected formation energy: -2.06 eV per atom. The value obtained for the magnetic moment is 1.00 μB/f.u. Its crystal system is monoclinic.

a = 5.880 Å, b = 5.880 Å, c = 6.480 Å
α = 98.13°, β = 98.13°, γ = 120.70°
Positions (direct):
K1 0.000 0.000 0.000
K2 0.341 0.659 0.000
K3 0.659 0.341 0.000
Er1 0.170 0.830 0.500
Er2 0.830 0.170 0.500
Pt1 0.500 0.500 0.500
O1 0.093 0.436 0.304
O2 0.241 0.241 0.674
O3 0.436 0.093 0.304
O4 0.564 0.907 0.696
O5 0.759 0.759 0.326
O6 0.907 0.564 0.696

---

[4]
K2ErPtO4 | PBE | relaxed

Computed properties:
As for the uncorrected formation energy: -1.72 eV per atom. The value obtained for the magnetic moment is 0.99 μB/f.u. Its crystal system is monoclinic.

a = 5.971 Å, b = 3.313 Å, c = 6.652 Å
α = 90.00°, β = 110.85°, γ = 90.00°
Positions (direct):
K1 0.000 0.000 0.000
K2 0.500 0.500 0.000
Er1 0.000 0.500 0.500
Pt1 0.500 0.000 0.500
O1 0.200 0.000 0.714
O2 0.293 0.500 0.337
O3 0.707 0.500 0.663
O4 0.800 0.000 0.286

---

[5]
K2ErPuO4 | PBE | relaxed

Computed properties:
As for the uncorrected formation energy: -2.57 eV per atom. The value obtained for the magnetic moment is 5.00 μB/f.u. Its density of states at the Fermi level is 0.6616 states/eV per atom. Its crystal system is monoclinic.

a = 6.097 Å, b = 3.515 Å, c = 6.578 Å
α = 90.00°, β = 107.99°, γ = 90.00°
Positions (direct):
K1 0.000 0.000 0.000
K2 0.500 0.500 0.000
Er1 0.000 0.500 0.500
Pu1 0.500 0.000 0.500
O1 0.221 0.000 0.686
O2 0.265 0.500 0.314
O3 0.735 0.500 0.686
O4 0.779 0.000 0.314

---

[6]
K2ErPuO6 | PBE | relaxed

Computed properties:
As for the uncorrected formation energy: -2.58 eV per atom. The value obtained for the magnetic moment is 1.00 μB/f.u. Its crystal system is cubic.

a = 6.033 Å, b = 6.033 Å, c = 6.033 Å
α = 60.00°, β = 60.00°, γ = 60.00°
Positions (direct):
K1 0.250 0.250 0.250
K2 0.750 0.750 0.750
Er1 0.000 0.000 0.000
Pu1 0.500 0.500 0.500
O1 0.263 0.263 0.737
O2 0.263 0.737 0.263
O3 0.263 0.737 0.737
O4 0.737 0.263 0.263
O5 0.737 0.263 0.737
O6 0.737 0.737 0.263

---

[7]
KErPu2O8 | PBE | relaxed

Computed properties:
As for the uncorrected formation energy: -2.49 eV per atom. The value obtained for the magnetic moment is 4.00 μB/f.u. Its density of states at the Fermi level is 0.7959 states/eV per atom. Its crystal system is tetragonal.

a = 6.481 Å, b = 6.481 Å, c = 6.481 Å
α = 130.38°, β = 130.38°, γ = 72.80°
Positions (direct):
K1 0.000 0.000 0.000
Er1 0.250 0.750 0.500
Pu1 0.500 0.500 0.000
Pu2 0.750 0.250 0.500
O1 0.134 0.150 0.545
O2 0.134 0.590 0.984
O3 0.410 0.394 0.545
O4 0.410 0.866 0.016
O5 0.606 0.150 0.016
O6 0.606 0.590 0.455
O7 0.850 0.394 0.984
O8 0.850 0.866 0.455

---

[8]
K4ErPu3O12 | PBE | relaxed

Computed properties:
As for the uncorrected formation energy: -2.59 eV per atom. The value obtained for the magnetic moment is 7.00 μB/f.u. Its density of states at the Fermi level is 0.4612 states/eV per atom. Its crystal system is cubic.

a = 7.399 Å, b = 7.399 Å, c = 7.399 Å
α = 109.47°, β = 109.47°, γ = 109.47°
Positions (direct):
K1 0.000 0.000 0.500
K2 0.000 0.500 0.000
K3 0.500 0.000 0.000
K4 0.500 0.500 0.500
Er1 0.000 0.000 0.000
Pu1 0.000 0.500 0.500
Pu2 0.500 0.000 0.500
Pu3 0.500 0.500 0.000
O1 0.000 0.264 0.264
O2 0.000 0.736 0.736
O3 0.250 0.500 0.750
O4 0.250 0.750 0.500
O5 0.264 0.000 0.264
O6 0.264 0.264 0.000
O7 0.500 0.250 0.750
O8 0.500 0.750 0.250
O9 0.736 0.000 0.736
O10 0.736 0.736 0.000
O11 0.750 0.250 0.500
O12 0.750 0.500 0.250

---

Look up the magnetic moment of the eighth one.
7.00 μB/f.u.